No. 1
A relaxed Rb2VCrS4 crystal, computed with PBE.

Results
Uncorrected formation energy = -1.014 eV per atom
SG = Fddd (70)
Calculated total energy = -0.4162 Ry/atom

abc: 5.5371 7.2629 12.3586
angles: 85.10 77.05 67.59
Each line ends with the local moment (μB).
Atoms (fractional coordinates):
S  0.6106  0.1850  0.1007  -0.01
S  0.1394  0.3150  0.3993  -0.01
S  0.5456  0.3150  0.6007  -0.01
S  0.2044  0.1850  0.8993  -0.01
S  0.8537  0.6850  0.6007  -0.01
S  0.4613  0.6850  0.3993  -0.01
S  0.8963  0.8150  0.8993  -0.01
S  0.2887  0.8150  0.1007  -0.01
Rb  0.1757  0.0000  0.6487  0.00
Rb  0.8243  0.0000  0.3513  0.00
Rb  0.9257  0.5000  0.1487  0.00
Rb  0.5743  0.5000  0.8513  0.00
Cr  0.0000  0.0000  0.0000  1.01
Cr  0.7500  0.5000  0.5000  1.01
V  0.2500  0.5000  0.5000  -0.14
V  0.5000  0.0000  0.0000  -0.14


No. 2
A relaxed InCu2W crystal, computed with PBE.

Results
Energy relative to the elements = 0.45 eV/atom
SG = R-3m (166)
Calculated total energy = -0.4054 Ry/atom

abc: 9.1204 9.1204 9.1204
angles: 17.99 17.99 17.99
Atoms (fractional coordinates):
In  0.2500  0.2500  0.2500
Cu  0.4970  0.4970  0.4970
Cu  0.0030  0.0030  0.0030
W  0.7500  0.7500  0.7500


No. 3
A relaxed InF crystal, computed with PBE.

Results
Uncorrected formation energy = -1.657 eV per atom
SG = I4/m (87)
Calculated total energy = -0.2912 Ry/atom

abc: 11.0923 11.0923 3.5236
angles: 90.00 90.00 90.00
Atoms (fractional coordinates):
F  0.8709  0.6221  0.5000
F  0.6291  0.8779  0.0000
F  0.3779  0.8709  0.5000
F  0.3709  0.1221  0.0000
F  0.8779  0.3709  0.0000
F  0.6221  0.1291  0.5000
F  0.1221  0.6291  0.0000
F  0.1291  0.3779  0.5000
In  0.7523  0.4501  0.5000
In  0.2477  0.5499  0.5000
In  0.5499  0.7523  0.5000
In  0.4501  0.2477  0.5000
In  0.7477  0.0499  0.0000
In  0.9501  0.7477  0.0000
In  0.2523  0.9501  0.0000
In  0.0499  0.2523  0.0000


No. 4
A relaxed Tm4TcAg3 crystal, computed with PBE.

Results
Energy relative to the elements = -0.27 eV/atom
SG = P4/mmm (123)
Calculated total energy = -0.3583 Ry/atom

abc: 3.4971 3.4971 14.5037
angles: 90.00 90.00 90.00
Atoms (fractional coordinates):
Ag  0.5000  0.5000  0.2446
Ag  0.5000  0.5000  0.5000
Ag  0.5000  0.5000  0.7554
Tm  0.0000  0.0000  0.1101
Tm  0.0000  0.0000  0.3726
Tm  0.0000  0.0000  0.8899
Tm  0.0000  0.0000  0.6274
Tc  0.5000  0.5000  0.0000


Number 1: M_tot 0.112 μB per atom. Number 2: M_tot 0.000 μB per atom. Number 3: M_tot 0.000 μB per atom. Number 4: M_tot 0.000 μB per atom.